Computed, not measured: a relaxed TcIr crystal at the GGA-PBE level of DFT.

a = 2.720 Å, b = 2.720 Å, c = 3.908 Å
α = 90.00°, β = 90.00°, γ = 90.00°
Element x y z (fractional)
Ir: 0.000 0.000 0.500
Tc: 0.500 0.500 0.000

Output
E_form: -0.35 eV/f.u.
symmetry: P4/mmm (123)
magnetic moment: 0.00 Bohr magnetons per cell